Entry 1:
RbHfCd2B | PBE-GGA | relaxed

abc: 5.568 5.568 6.753
angles: 90.00 90.00 90.00
Space group P4/mmm (No. 123)
One atom of each set of equivalent atoms:
Rb 0.000 0.000 0.000 [1 per cell]
Hf 0.000 0.000 0.500 [1 per cell]
Cd 0.000 0.500 0.500 [2 per cell]
B 0.500 0.500 0.000 [1 per cell]

As for the total energy: -1.974 eV/atom. For the theoretical density, the calculation gives 4.0 g/cm3. The formation energy comes out at 9.56 eV/f.u. For the density of states at the Fermi level, the calculation gives 7.529 states/eV/cell.

---

Entry 2:
KMnCd2 | PBE-GGA | relaxed

abc: 5.548 5.548 3.232
angles: 90.00 90.00 90.00
Space group P4/mmm (No. 123)
One atom of each set of equivalent atoms:
K 0.000 0.000 0.000 [1 per cell]
Mn 0.500 0.500 0.000 [1 per cell]
Cd 0.000 0.500 0.500 [2 per cell]

As for the total energy: -2.576 eV/atom. The calculation puts the energy relative to the lowest polymorph listed for this composition at 0.204 eV/atom. For the theoretical density, the calculation gives 5.3 g/cm3. The formation energy comes out at 1.79 eV/f.u. For the density of states at the Fermi level, the calculation gives 1.726 states/eV/cell.